Entry 1:
Material: BeGa2Ir2
Method: DFT, PBE
State: relaxed

Results
**Space group**: P4/mbm (127)
**Crystal system**: tetragonal
**Energy above the most stable polymorph in this dataset**: 0.00 eV/f.u.
**Calculated density**: 12.059 g/cm3

```
BeGa2Ir2
1.0
6.9512 0.0000 0.0000
0.0000 6.9512 0.0000
0.0000 0.0000 3.0374
Be Ga Ir
2 4 4
Cartesian
0.0000 0.0000 0.0000 Be
3.4756 3.4756 0.0000 Be
1.0118 2.4638 1.5187 Ga
2.4638 5.9394 1.5187 Ga
4.4874 1.0118 1.5187 Ga
5.9394 4.4874 1.5187 Ga
1.0828 4.5584 0.0000 Ir
2.3928 1.0828 0.0000 Ir
4.5584 5.8684 0.0000 Ir
5.8684 2.3928 0.0000 Ir
```

***

Entry 2:
Material: BeGaIr
Method: DFT, PBE
State: relaxed

Results
**Space group**: R-3m (166)
**Crystal system**: trigonal
**Energy above the most stable polymorph in this dataset**: 0.80 eV/f.u.
**Calculated density**: 10.264 g/cm3

```
BeGaIr
1.0
2.0783 1.1999 5.8591
-2.0783 1.1999 5.8591
0.0000 -2.3999 5.8591
Be Ga Ir
2 2 2
Cartesian
0.0000 0.0000 2.3457 Be
0.0000 0.0000 15.2315 Be
0.0000 0.0000 7.2428 Ga
0.0000 0.0000 10.3344 Ga
0.0000 0.0000 4.6775 Ir
0.0000 0.0000 12.8997 Ir
```

***

Entry 3:
Material: Be2GaIr
Method: DFT, PBE
State: relaxed

Results
**Space group**: I-42d (122)
**Crystal system**: tetragonal
**Calculated density**: 8.652 g/cm3

```
Be2GaIr
1.0
3.6407 0.0000 0.0000
0.0000 3.6407 0.0000
0.0000 0.0000 16.2153
Be Ga Ir
8 4 4
Cartesian
0.6731 0.9102 2.0269 Be
0.9102 2.4935 6.0807 Be
0.9102 2.9675 14.1884 Be
1.1472 0.9102 10.1345 Be
2.4935 2.7305 10.1345 Be
2.7305 0.6731 14.1884 Be
2.7305 1.1472 6.0807 Be
2.9675 2.7305 2.0269 Be
0.0000 0.0000 8.1076 Ga
0.0000 1.8203 12.1615 Ga
1.8203 0.0000 4.0538 Ga
1.8203 1.8203 0.0000 Ga
0.0000 0.0000 0.0000 Ir
0.0000 1.8203 4.0538 Ir
1.8203 0.0000 12.1615 Ir
1.8203 1.8203 8.1076 Ir
```

***

Entry 4:
Material: Be3GaIr
Method: DFT, PBE
State: relaxed

Results
**Space group**: Pm-3m (221)
**Crystal system**: cubic
**Energy above the most stable polymorph in this dataset**: 0.00 eV/f.u.
**Calculated density**: 6.196 g/cm3

```
Be3GaIr
1.0
4.2625 0.0000 0.0000
0.0000 4.2625 0.0000
0.0000 0.0000 4.2625
Be Ga Ir
3 1 1
Cartesian
0.0000 0.0000 2.1312 Be
0.0000 2.1312 0.0000 Be
2.1312 0.0000 0.0000 Be
2.1312 2.1312 2.1312 Ga
0.0000 0.0000 0.0000 Ir
```

***

The energy of formation from the pure elements results, record by record, are as follows: -0.96 -0.44 0.65 1.54 eV per formula unit.